## Tb4In2Hg5 (PBE)

Data for a relaxed structure of Tb4In2Hg5.

abc: 8.0572 3.5811 10.0026
angles: 90.00 96.88 90.00
With the nearest neighbours (Å) after each atom.
Element x y z (fractional)
Tb 0.1866 0.0000 0.3950  6 Hg 3.17-3.31, 2 In 3.19
Tb 0.2733 0.0000 0.9270  6 Hg 3.20-3.36, 4 In 3.31-3.32, 2 Tb 3.58
Tb 0.7267 0.0000 0.0730  6 Hg 3.20-3.36, 4 In 3.31-3.32, 2 Tb 3.58
Tb 0.8134 0.0000 0.6050  6 Hg 3.17-3.31, 2 In 3.19
In 0.0746 0.5000 0.1360  1 In 2.84, 2 Hg 3.00
In 0.9254 0.5000 0.8640  1 In 2.84, 2 Hg 3.00
Hg 0.1613 0.5000 0.6534  1 In 3.00, 6 Tb 3.17-3.31, 2 Hg 3.29-3.33
Hg 0.4490 0.5000 0.1915  1 In 3.00, 2 Hg 3.06-3.33, 2 Tb 3.20
Hg 0.5000 0.5000 0.5000  4 Hg 3.06-3.29, 4 Tb 3.17
Hg 0.5510 0.5000 0.8085  1 In 3.00, 2 Hg 3.06-3.33, 2 Tb 3.20
Hg 0.8387 0.5000 0.3466  1 In 3.00, 6 Tb 3.17-3.31, 2 Hg 3.29-3.33

Summary:
energy = -2.691 eV per atom
spin magnetization = 0.00 μB per cell
V = 26.05 A^3/atom